1.
# CrH2Ru2 (PBE-GGA, relaxed)
# electronic total energy = -6.76 eV per atom
# spin magnetization = 0.0679 μB/atom
# distance to the lowest polymorph of the same formula = 0.194 eV per atom
data_CrH2Ru2
_cell_length_a 5.6883
_cell_length_b 5.6883
_cell_length_c 2.8348
_cell_angle_alpha 90.00
_cell_angle_beta 90.00
_cell_angle_gamma 90.00
_space_group_name_H-M_alt 'P 4/m b m'
_space_group_IT_number 127
_space_group_name_Hall '-P 4 2ab'
loop_
_atom_site_label
_atom_site_fract_x
_atom_site_fract_y
_atom_site_fract_z
Cr1 0.0000 0.0000 0.0000
H1 0.1939 0.3061 0.0000
Ru1 0.1566 0.6566 0.5000


2.
# MgZn3Cu (PBE-GGA, relaxed)
# electronic total energy = -1.67 eV per atom
# formation energy = 228 meV per atom
# spin magnetization = 0.0000 μB/atom
# distance to the lowest polymorph of the same formula = 0.298 eV per atom
data_MgZn3Cu
_cell_length_a 4.6013
_cell_length_b 4.6013
_cell_length_c 4.6013
_cell_angle_alpha 90.00
_cell_angle_beta 90.00
_cell_angle_gamma 90.00
_space_group_name_H-M_alt 'P m -3 m'
_space_group_IT_number 221
_space_group_name_Hall '-P 4 2 3'
loop_
_atom_site_label
_atom_site_fract_x
_atom_site_fract_y
_atom_site_fract_z
Mg1 0.0000 0.0000 0.0000
Zn1 0.0000 0.5000 0.5000
Cu1 0.5000 0.5000 0.5000


3.
# LiLaPmEu (PBE-GGA, relaxed)
# electronic total energy = -5.26 eV per atom
# formation energy = 208 meV per atom
# spin magnetization = 1.8289 μB/atom
data_LiLaPmEu
_cell_length_a 8.1697
_cell_length_b 8.1697
_cell_length_c 8.1697
_cell_angle_alpha 90.00
_cell_angle_beta 90.00
_cell_angle_gamma 90.00
_space_group_name_H-M_alt 'F -4 3 m'
_space_group_IT_number 216
_space_group_name_Hall 'F -4 2 3'
loop_
_atom_site_label
_atom_site_fract_x
_atom_site_fract_y
_atom_site_fract_z
Li1 0.0000 0.0000 0.0000
La1 0.2500 0.2500 0.7500
Pm1 0.0000 0.0000 0.5000
Eu1 0.2500 0.2500 0.2500